1 | Material: BeTeRu3
Method: DFT, PBEsol
State: relaxed

Results
**Total magnetic moment**: 0.000 μB per cell
**Space-group type**: Pm-3m, No. 221

The structure in extended XYZ format:
```
5
Lattice="4.122 0.000 0.000 0.000 4.122 0.000 0.000 0.000 4.122" Properties=species:S:1:pos:R:3 pbc="T T T"
Be 0.000 0.000 0.000
Te 2.061 2.061 2.061
Ru 0.000 0.000 2.061
Ru 0.000 2.061 0.000
Ru 2.061 0.000 0.000
```

***

2 | Material: BeTeRu3
Method: DFT, PBEsol
State: relaxed

Results
**Total magnetic moment**: 1.654 μB per cell
**Space-group type**: Pm-3m, No. 221

The structure in extended XYZ format:
```
5
Lattice="4.698 0.000 0.000 0.000 4.698 0.000 0.000 0.000 4.698" Properties=species:S:1:pos:R:3 pbc="T T T"
Be 0.000 0.000 0.000
Te 2.349 2.349 2.349
Ru 0.000 2.349 2.349
Ru 2.349 0.000 2.349
Ru 2.349 2.349 0.000
```

***

Ranking the structures above by energy, 1 is first and the second is 1457 meV/atom behind.